Model i:
Compound: Ti3CdC
Source: Alexandria
Functional: GGA-PBE
Structure: optimized geometry

The structure in CIF format:
```
data_Ti3CdC
_chemical_formula_sum 'Ti3 Cd1 C1'
_space_group_name_H-M_alt 'P 4/m m m'
_space_group_IT_number 123
_space_group_name_Hall '-P 4 2'
_cell_length_a 3.0856
_cell_length_b 3.0856
_cell_length_c 8.1344
_cell_angle_alpha 90.00
_cell_angle_beta 90.00
_cell_angle_gamma 90.00
loop_
_atom_site_label
_atom_site_type_symbol
_atom_site_fract_x
_atom_site_fract_y
_atom_site_fract_z
_atom_site_occupancy
Ti1 Ti 0.0000 0.0000 0.0000 1
Ti2 Ti 0.5000 0.5000 0.2510 1
Cd1 Cd 0.0000 0.0000 0.5000 1
C1 C 0.5000 0.5000 0.0000 1
```

DOS at the Fermi energy   1.475 states/eV/atom
Calculated density   5.7 g/cm3

=====

Model ii:
Compound: Ti3CdC
Source: Alexandria
Functional: GGA-PBE
Structure: optimized geometry

The structure in CIF format:
```
data_Ti3CdC
_chemical_formula_sum 'Ti12 Cd4 C4'
_space_group_name_H-M_alt 'P 1 21/c 1'
_space_group_IT_number 14
_space_group_name_Hall '-P 2ybc'
_cell_length_a 7.9146
_cell_length_b 5.5532
_cell_length_c 7.8609
_cell_angle_alpha 90.00
_cell_angle_beta 111.73
_cell_angle_gamma 90.00
loop_
_atom_site_label
_atom_site_type_symbol
_atom_site_fract_x
_atom_site_fract_y
_atom_site_fract_z
_atom_site_occupancy
Ti1 Ti 0.0505 0.0797 0.3516 1
Ti2 Ti 0.1794 0.5637 0.5348 1
Ti3 Ti 0.3199 0.1285 0.7466 1
Cd1 Cd 0.3998 0.6770 0.9006 1
C1 C 0.0650 0.2434 0.1024 1
```

DOS at the Fermi energy   0.809 states/eV/atom
Calculated density   5.5 g/cm3

=====

We find model i to be the most stable, with the next structure 0.054 eV/atom higher.

=====

Model i:
Compound: Ti3CdC
Source: Alexandria
Functional: GGA-PBE
Structure: optimized geometry

The structure in CIF format:
```
data_Ti3CdC
_chemical_formula_sum 'Ti6 Cd2 C2'
_space_group_name_H-M_alt 'P 1 21/m 1'
_space_group_IT_number 11
_space_group_name_Hall '-P 2yb'
_cell_length_a 4.9182
_cell_length_b 6.0359
_cell_length_c 5.2717
_cell_angle_alpha 90.00
_cell_angle_beta 90.26
_cell_angle_gamma 90.00
loop_
_atom_site_label
_atom_site_type_symbol
_atom_site_fract_x
_atom_site_fract_y
_atom_site_fract_z
_atom_site_occupancy
Ti1 Ti 0.2413 0.0004 0.3428 1
Ti2 Ti 0.2586 0.2500 0.8440 1
Cd1 Cd 0.2658 0.7500 0.8454 1
C1 C 0.0176 0.2500 0.5225 1
```

DOS at the Fermi energy   1.184 states/eV/atom
Calculated density   5.7 g/cm3

=====

Model ii:
Compound: Ti3CdC
Source: Alexandria
Functional: GGA-PBE
Structure: optimized geometry

The structure in CIF format:
```
data_Ti3CdC
_chemical_formula_sum 'Ti3 Cd1 C1'
_space_group_name_H-M_alt 'P m -3 m'
_space_group_IT_number 221
_space_group_name_Hall '-P 4 2 3'
_cell_length_a 4.2429
_cell_length_b 4.2429
_cell_length_c 4.2429
_cell_angle_alpha 90.00
_cell_angle_beta 90.00
_cell_angle_gamma 90.00
loop_
_atom_site_label
_atom_site_type_symbol
_atom_site_fract_x
_atom_site_fract_y
_atom_site_fract_z
_atom_site_occupancy
Ti1 Ti 0.0000 0.0000 0.5000 1
Cd1 Cd 0.5000 0.5000 0.5000 1
C1 C 0.0000 0.0000 0.0000 1
```

DOS at the Fermi energy   0.822 states/eV/atom
Calculated density   5.8 g/cm3

=====

We find model ii to be the most stable, with the next structure 0.257 eV/atom higher.

=====

Model i:
Compound: Ti3CdC
Source: Alexandria
Functional: GGA-PBE
Structure: optimized geometry

The structure in CIF format:
```
data_Ti3CdC
_chemical_formula_sum 'Ti6 Cd2 C2'
_space_group_name_H-M_alt 'P m m n'
_space_group_IT_number 59
_cell_length_a 4.4348
_cell_length_b 5.6204
_cell_length_c 6.3338
_cell_angle_alpha 90.00
_cell_angle_beta 90.00
_cell_angle_gamma 90.00
loop_
_space_group_symop_operation_xyz
'x,y,z'
'-x,-y,-z'
'-x+1/2,-y+1/2,z'
'x+1/2,y+1/2,-z'
'x+1/2,-y,-z'
'-x+1/2,y,z'
'-x,y+1/2,-z'
'x,-y+1/2,z'
loop_
_atom_site_label
_atom_site_type_symbol
_atom_site_fract_x
_atom_site_fract_y
_atom_site_fract_z
_atom_site_occupancy
Ti1 Ti 0.2500 0.0052 0.1292 1
Ti2 Ti 0.2500 0.7500 0.5992 1
Cd1 Cd 0.2500 0.2500 0.7240 1
C1 C 0.2500 0.2500 0.3670 1
```

DOS at the Fermi energy   1.083 states/eV/atom
Calculated density   5.6 g/cm3

=====

Model ii:
Compound: Ti3CdC
Source: Alexandria
Functional: GGA-PBE
Structure: optimized geometry

The structure in CIF format:
```
data_Ti3CdC
_chemical_formula_sum 'Ti6 Cd2 C2'
_space_group_name_H-M_alt 'P m n 21'
_space_group_IT_number 31
_space_group_name_Hall 'P 2ac -2'
_cell_length_a 3.1025
_cell_length_b 10.4416
_cell_length_c 4.8880
_cell_angle_alpha 90.00
_cell_angle_beta 90.00
_cell_angle_gamma 90.00
loop_
_atom_site_label
_atom_site_type_symbol
_atom_site_fract_x
_atom_site_fract_y
_atom_site_fract_z
_atom_site_occupancy
Ti1 Ti 0.0000 0.0433 0.0000 1
Ti2 Ti 0.0000 0.2046 0.5271 1
Ti3 Ti 0.0000 0.7220 0.5207 1
Cd1 Cd 0.0000 0.5475 0.0111 1
C1 C 0.0000 0.8790 0.2586 1
```

DOS at the Fermi energy   0.994 states/eV/atom
Calculated density   5.6 g/cm3

=====

Model iii:
Compound: Ti3CdC
Source: Alexandria
Functional: GGA-PBE
Structure: optimized geometry

The structure in CIF format:
```
data_Ti3CdC
_chemical_formula_sum 'Ti12 Cd4 C4'
_space_group_name_H-M_alt 'I m m 2'
_space_group_IT_number 44
_space_group_name_Hall 'I 2 -2'
_cell_length_a 3.1333
_cell_length_b 19.7244
_cell_length_c 5.1083
_cell_angle_alpha 90.00
_cell_angle_beta 90.00
_cell_angle_gamma 90.00
loop_
_atom_site_label
_atom_site_type_symbol
_atom_site_fract_x
_atom_site_fract_y
_atom_site_fract_z
_atom_site_occupancy
Ti1 Ti 0.0000 0.1224 0.0000 1
Ti2 Ti 0.0000 0.2594 0.6217 1
Ti3 Ti 0.0000 0.3680 0.9958 1
Cd1 Cd 0.0000 0.0000 0.6427 1
Cd2 Cd 0.0000 0.5000 0.6525 1
C1 C 0.0000 0.1866 0.3179 1
```

DOS at the Fermi energy   0.735 states/eV/atom
Calculated density   5.6 g/cm3

=====

Model iv:
Compound: Ti3CdC
Source: Alexandria
Functional: GGA-PBE
Structure: optimized geometry

The structure in CIF format:
```
data_Ti3CdC
_chemical_formula_sum 'Ti6 Cd2 C2'
_space_group_name_H-M_alt 'A m m 2'
_space_group_IT_number 38
_space_group_name_Hall 'A 2 -2'
_cell_length_a 2.9505
_cell_length_b 5.7460
_cell_length_c 14.3180
_cell_angle_alpha 90.00
_cell_angle_beta 90.00
_cell_angle_gamma 90.00
loop_
_atom_site_label
_atom_site_type_symbol
_atom_site_fract_x
_atom_site_fract_y
_atom_site_fract_z
_atom_site_occupancy
Ti1 Ti 0.0000 0.0000 0.0000 1
Ti2 Ti 0.5000 0.2410 0.8668 1
Cd1 Cd 0.5000 0.0000 0.1837 1
C1 C 0.0000 0.0000 0.8493 1
```

DOS at the Fermi energy   0.382 states/eV/atom
Calculated density   3.7 g/cm3

=====

We find model ii to be the most stable, with the next structure 0.008 eV/atom higher.

=====

Model i:
Compound: Ti3CdC
Source: Alexandria
Functional: GGA-PBE
Structure: optimized geometry

The structure in CIF format:
```
data_Ti3CdC
_chemical_formula_sum 'Ti3 Cd1 C1'
_space_group_name_H-M_alt 'P 4 m m'
_space_group_IT_number 99
_space_group_name_Hall 'P 4 -2'
_cell_length_a 3.4142
_cell_length_b 3.4142
_cell_length_c 7.7348
_cell_angle_alpha 90.00
_cell_angle_beta 90.00
_cell_angle_gamma 90.00
loop_
_atom_site_label
_atom_site_type_symbol
_atom_site_fract_x
_atom_site_fract_y
_atom_site_fract_z
_atom_site_occupancy
Ti1 Ti 0.0000 0.0000 0.0000 1
Ti2 Ti 0.0000 0.5000 0.7196 1
Cd1 Cd 0.0000 0.0000 0.3806 1
C1 C 0.5000 0.5000 0.9035 1
```

DOS at the Fermi energy   1.053 states/eV/atom
Calculated density   4.9 g/cm3

=====

Model ii:
Compound: Ti3CdC
Source: Alexandria
Functional: GGA-PBE
Structure: optimized geometry

The structure in CIF format:
```
data_Ti3CdC
_chemical_formula_sum 'Ti18 Cd6 C6'
_space_group_name_H-M_alt 'R -3'
_space_group_IT_number 148
_space_group_name_Hall '-R 3'
_cell_length_a 5.3307
_cell_length_b 5.3307
_cell_length_c 21.2036
_cell_angle_alpha 90.00
_cell_angle_beta 90.00
_cell_angle_gamma 120.00
loop_
_atom_site_label
_atom_site_type_symbol
_atom_site_fract_x
_atom_site_fract_y
_atom_site_fract_z
_atom_site_occupancy
Ti1 Ti 0.0031 0.3237 0.2799 1
Cd1 Cd 0.0000 0.0000 0.1645 1
C1 C 0.0000 0.0000 0.3377 1
```

DOS at the Fermi energy   1.262 states/eV/atom
Calculated density   5.1 g/cm3

=====

Model iii:
Compound: Ti3CdC
Source: Alexandria
Functional: GGA-PBE
Structure: optimized geometry

The structure in CIF format:
```
data_Ti3CdC
_chemical_formula_sum 'Ti18 Cd6 C6'
_space_group_name_H-M_alt 'R -3 c'
_space_group_IT_number 167
_space_group_name_Hall '-R 3 2"c'
_cell_length_a 7.7047
_cell_length_b 7.7047
_cell_length_c 9.3799
_cell_angle_alpha 90.00
_cell_angle_beta 90.00
_cell_angle_gamma 120.00
loop_
_atom_site_label
_atom_site_type_symbol
_atom_site_fract_x
_atom_site_fract_y
_atom_site_fract_z
_atom_site_occupancy
Ti1 Ti 0.0000 0.2570 0.2500 1
Cd1 Cd 0.0000 0.0000 0.0000 1
C1 C 0.0000 0.0000 0.2500 1
```

DOS at the Fermi energy   0.798 states/eV/atom
Calculated density   5.5 g/cm3

=====

Model iv:
Compound: Ti3CdC
Source: Alexandria
Functional: GGA-PBE
Structure: optimized geometry

The structure in CIF format:
```
data_Ti3CdC
_chemical_formula_sum 'Ti12 Cd4 C4'
_space_group_name_H-M_alt 'C 1 2/m 1'
_space_group_IT_number 12
_space_group_name_Hall '-C 2y'
_cell_length_a 11.5037
_cell_length_b 3.0392
_cell_length_c 9.3657
_cell_angle_alpha 90.00
_cell_angle_beta 104.66
_cell_angle_gamma 90.00
loop_
_atom_site_label
_atom_site_type_symbol
_atom_site_fract_x
_atom_site_fract_y
_atom_site_fract_z
_atom_site_occupancy
Ti1 Ti 0.0375 0.0000 0.3802 1
Ti2 Ti 0.0918 0.5000 0.1494 1
Ti3 Ti 0.2093 0.5000 0.6128 1
Cd1 Cd 0.1506 0.0000 0.8878 1
C1 C 0.1618 0.5000 0.3757 1
```

DOS at the Fermi energy   1.026 states/eV/atom
Calculated density   5.6 g/cm3

=====

We find model iv to be the most stable, with the next structure 0.097 eV/atom higher.